No. 1
The following is a SCAN calculation of a crystal of Zn3InOs relaxed with PBEsol, from Alexandria.

a b c (Å): 4.7832 4.7832 4.7832
angles (deg): 90.00 90.00 90.00
Site moments in Bohr magnetons follow the coordinates.
Sites, in units of the cell vectors:
Zn: 0.5000 0.0000 0.0000  0.02
In: 0.0000 0.0000 0.0000  0.14
Zn: 0.0000 0.0000 0.5000  0.02
Zn: 0.0000 0.5000 0.0000  0.02
Os: 0.5000 0.5000 0.5000  2.46

## Properties
Calculated formation energy in kJ per mole of atoms: 163.58
Crystal system: cubic

No. 2
The following is a SCAN calculation of a crystal of Si2Ir2Br relaxed with PBEsol, from Alexandria.

a b c (Å): 4.0779 4.0779 5.7265
angles (deg): 110.86 110.86 90.00
Sites, in units of the cell vectors:
Ir: 0.2500 0.7500 0.5000
Ir: 0.7500 0.2500 0.5000
Si: 0.3773 0.3773 0.7547
Si: 0.6227 0.6227 0.2453
Br: 0.0000 0.0000 0.0000

## Properties
Formation energy without anion corrections in kJ/mol of atoms: -15
Crystal system: tetragonal

No. 3
The following is a SCAN calculation of a crystal of Li4MnB2O6 relaxed with PBEsol, from Alexandria.

a b c (Å): 3.2853 7.8613 9.2571
angles (deg): 90.00 90.00 90.00
Site moments in Bohr magnetons follow the coordinates.
Sites, in units of the cell vectors:
O: 0.5000 0.2489 0.1506  0.03
Mn: 0.5000 0.5000 0.0000  4.59
O: 0.0000 0.6205 0.1120  0.05
O: 0.0000 0.9236 0.1364  0.00
Li: 0.0000 0.5054 0.2948  0.00
Mn: 0.0000 0.0000 0.5000  4.59
O: 0.5000 0.4236 0.3636  0.00
B: 0.5000 0.2673 0.2994  0.01
Li: 0.0000 0.8316 0.9442  0.00
Li: 0.5000 0.3316 0.5558  0.00
O: 0.0000 0.0764 0.8636  0.00
B: 0.0000 0.7673 0.2006  0.01
Li: 0.5000 0.9946 0.7948  0.00
O: 0.5000 0.1205 0.3880  0.05
B: 0.5000 0.7327 0.7006  0.01
Li: 0.5000 0.0054 0.2052  0.00
Li: 0.0000 0.1684 0.0558  0.00
O: 0.0000 0.7489 0.3494  0.03
Li: 0.0000 0.4946 0.7052  0.00
O: 0.5000 0.7511 0.8494  0.03
O: 0.0000 0.2511 0.6506  0.03
Li: 0.5000 0.6684 0.4442  0.00
O: 0.5000 0.5764 0.6364  0.00
O: 0.0000 0.3795 0.8880  0.05
O: 0.5000 0.8795 0.6120  0.05
B: 0.0000 0.2327 0.7994  0.01

## Properties
Formation energy without anion corrections in kJ/mol of atoms: -233
Crystal system: orthorhombic

Across the entries above, magnetization takes the values 0.594, 0.000, 0.385 μB per atom, respectively.